<1>
An optimized crystal structure of Ba2Pr2Co4O11, computed with PBE+U.

Calculated values
* total magnetization: 12.0 μB per formula unit

CIF file:
```
data_Ba2Pr2Co4O11
_cell_length_a 8.676
_cell_length_b 8.676
_cell_length_c 8.676
_cell_angle_alpha 142.01
_cell_angle_beta 142.01
_cell_angle_gamma 54.81
_symmetry_space_group_name_H-M 'P 1'
_symmetry_Int_Tables_number 1
_symmetry_space_group_name_Hall 'P 1'
loop_
_atom_site_label
_atom_site_fract_x
_atom_site_fract_y
_atom_site_fract_z
Ba1 0.250 0.750 0.500
Ba2 0.750 0.250 0.500
Pr1 0.000 0.500 0.500
Pr2 0.500 0.000 0.500
Co1 0.121 0.121 0.000
Co2 0.377 0.377 0.000
Co3 0.623 0.623 0.000
Co4 0.879 0.879 0.000
O1 0.000 0.000 0.000
O2 0.159 0.159 0.528
O3 0.159 0.632 0.000
O4 0.238 0.238 0.000
O5 0.368 0.368 0.528
O6 0.368 0.841 0.000
O7 0.632 0.159 0.000
O8 0.632 0.632 0.472
O9 0.762 0.762 0.000
O10 0.841 0.368 0.000
O11 0.841 0.841 0.472
```

***

<2>
An optimized crystal structure of Ba2Pr2Co4O11, computed with PBE+U.

Calculated values
* density of states at the Fermi level: 2.4 states/eV/cell
* total magnetization: 12.2 μB per formula unit

CIF file:
```
data_Ba2Pr2Co4O11
_cell_length_a 3.971
_cell_length_b 7.800
_cell_length_c 7.943
_cell_angle_alpha 90.00
_cell_angle_beta 90.00
_cell_angle_gamma 90.00
_symmetry_space_group_name_H-M 'P 1'
_symmetry_Int_Tables_number 1
_symmetry_space_group_name_Hall 'P 1'
loop_
_atom_site_label
_atom_site_fract_x
_atom_site_fract_y
_atom_site_fract_z
Ba1 0.000 0.000 0.248
Ba2 0.000 0.000 0.752
Pr1 0.000 0.500 0.231
Pr2 0.000 0.500 0.769
Co1 0.500 0.252 0.000
Co2 0.500 0.253 0.500
Co3 0.500 0.747 0.500
Co4 0.500 0.748 0.000
O1 0.000 0.270 0.000
O2 0.000 0.308 0.500
O3 0.000 0.692 0.500
O4 0.000 0.730 0.000
O5 0.500 0.000 0.000
O6 0.500 0.000 0.500
O7 0.500 0.294 0.273
O8 0.500 0.294 0.727
O9 0.500 0.500 0.000
O10 0.500 0.706 0.273
O11 0.500 0.706 0.727
```

***

Most stable: <1>

***

<1>
An optimized crystal structure of Ba3CoRu2O9, computed with PBE+U.

Calculated values
* density of states at the Fermi level: 13.4 states/eV/cell
* total magnetization: 8.3 μB per formula unit

CIF file:
```
data_Ba3CoRu2O9
_cell_length_a 5.819
_cell_length_b 5.819
_cell_length_c 14.279
_cell_angle_alpha 90.00
_cell_angle_beta 90.00
_cell_angle_gamma 120.00
_symmetry_space_group_name_H-M 'P 1'
_symmetry_Int_Tables_number 1
_symmetry_space_group_name_Hall 'P 1'
loop_
_atom_site_label
_atom_site_fract_x
_atom_site_fract_y
_atom_site_fract_z
Ba1 0.000 0.000 0.250
Ba2 0.000 0.000 0.750
Ba3 0.333 0.667 0.090
Ba4 0.333 0.667 0.410
Ba5 0.667 0.333 0.590
Ba6 0.667 0.333 0.910
Co1 0.000 0.000 0.000
Co2 0.000 0.000 0.500
Ru1 0.333 0.667 0.653
Ru2 0.333 0.667 0.847
Ru3 0.667 0.333 0.153
Ru4 0.667 0.333 0.347
O1 0.032 0.516 0.750
O2 0.169 0.338 0.581
O3 0.169 0.338 0.919
O4 0.169 0.831 0.581
O5 0.169 0.831 0.919
O6 0.338 0.169 0.081
O7 0.338 0.169 0.419
O8 0.484 0.516 0.750
O9 0.484 0.968 0.750
O10 0.516 0.032 0.250
O11 0.516 0.484 0.250
O12 0.662 0.831 0.581
O13 0.662 0.831 0.919
O14 0.831 0.169 0.081
O15 0.831 0.169 0.419
O16 0.831 0.662 0.081
O17 0.831 0.662 0.419
O18 0.968 0.484 0.250
```

***

<2>
An optimized crystal structure of Ba3CoRu2O9, computed with PBE+U.

Calculated values
* density of states at the Fermi level: 9.0 states/eV/cell
* total magnetization: 8.3 μB per formula unit

CIF file:
```
data_Ba3CoRu2O9
_cell_length_a 5.751
_cell_length_b 5.751
_cell_length_c 7.034
_cell_angle_alpha 90.00
_cell_angle_beta 90.00
_cell_angle_gamma 120.00
_symmetry_space_group_name_H-M 'P 1'
_symmetry_Int_Tables_number 1
_symmetry_space_group_name_Hall 'P 1'
loop_
_atom_site_label
_atom_site_fract_x
_atom_site_fract_y
_atom_site_fract_z
Ba1 0.000 0.000 0.000
Ba2 0.333 0.667 0.666
Ba3 0.667 0.333 0.334
Co1 0.000 0.000 0.500
Ru1 0.333 0.667 0.173
Ru2 0.667 0.333 0.827
O1 0.000 0.500 0.000
O2 0.171 0.342 0.329
O3 0.171 0.829 0.329
O4 0.342 0.171 0.671
O5 0.500 0.000 0.000
O6 0.500 0.500 0.000
O7 0.658 0.829 0.329
O8 0.829 0.171 0.671
O9 0.829 0.658 0.671
```

***

Most stable: <1>

***

<1>
An optimized crystal structure of BaY2CoO5, computed with PBE+U.

Calculated values
* total magnetization: 3.0 μB per formula unit

CIF file:
```
data_BaY2CoO5
_cell_length_a 6.758
_cell_length_b 6.758
_cell_length_c 6.758
_cell_angle_alpha 147.46
_cell_angle_beta 128.78
_cell_angle_gamma 62.01
_symmetry_space_group_name_H-M 'P 1'
_symmetry_Int_Tables_number 1
_symmetry_space_group_name_Hall 'P 1'
loop_
_atom_site_label
_atom_site_fract_x
_atom_site_fract_y
_atom_site_fract_z
Ba1 0.000 0.000 0.000
Y1 0.296 0.796 0.500
Y2 0.704 0.204 0.500
Co1 0.500 0.500 0.000
O1 0.108 0.349 0.758
O2 0.409 0.651 0.758
O3 0.500 0.000 0.500
O4 0.591 0.349 0.242
O5 0.892 0.651 0.242
```

***

<2>
An optimized crystal structure of BaY2CoO5, computed with PBE+U.

Calculated values
* density of states at the Fermi level: 0.0 states/eV/cell
* total magnetization: 3.0 μB per formula unit

CIF file:
```
data_BaY2CoO5
_cell_length_a 12.393
_cell_length_b 5.769
_cell_length_c 7.155
_cell_angle_alpha 90.00
_cell_angle_beta 90.00
_cell_angle_gamma 90.00
_symmetry_space_group_name_H-M 'P 1'
_symmetry_Int_Tables_number 1
_symmetry_space_group_name_Hall 'P 1'
loop_
_atom_site_label
_atom_site_fract_x
_atom_site_fract_y
_atom_site_fract_z
Ba1 0.100 0.250 0.079
Ba2 0.400 0.750 0.579
Ba3 0.600 0.250 0.421
Ba4 0.900 0.750 0.921
Y1 0.074 0.750 0.401
Y2 0.208 0.250 0.619
Y3 0.292 0.750 0.119
Y4 0.426 0.250 0.901
Y5 0.574 0.750 0.099
Y6 0.708 0.250 0.881
Y7 0.792 0.750 0.381
Y8 0.926 0.250 0.599
Co1 0.152 0.750 0.808
Co2 0.348 0.250 0.308
Co3 0.652 0.750 0.692
Co4 0.848 0.250 0.192
O1 0.066 0.504 0.666
O2 0.066 0.996 0.666
O3 0.102 0.750 0.074
O4 0.225 0.001 0.359
O5 0.225 0.499 0.359
O6 0.275 0.501 0.859
O7 0.275 0.999 0.859
O8 0.398 0.250 0.574
O9 0.434 0.004 0.166
O10 0.434 0.496 0.166
O11 0.566 0.504 0.834
O12 0.566 0.996 0.834
O13 0.602 0.750 0.426
O14 0.725 0.001 0.141
O15 0.725 0.499 0.141
O16 0.775 0.501 0.641
O17 0.775 0.999 0.641
O18 0.898 0.250 0.926
O19 0.934 0.004 0.334
O20 0.934 0.496 0.334
```

***

Most stable: <2>